A relaxed structure of Ta3InF, computed with GGA-PBE.

Geometry as POSCAR:
```
Ta3InF
1.0
-4.141 0.813 2.844
2.242 -2.328 3.931
1.929 4.452 1.536
F In Ta
1 1 3
Cartesian
0.015 1.469 4.155
0.000 0.000 0.000
1.121 -1.164 1.966
0.964 2.226 0.768
-2.071 0.407 1.422
```

Results
- V: 26.4 A^3/atom
- E_form (uncorrected): 2.34 eV/atom
- Total magnetic moment: 0.0 μB/f.u.
- Energy relative to the lowest polymorph listed for this composition: 10.69 eV/f.u.